Rb2AlRhF6 | PBE-GGA | relaxed

Values from the calculation:
Formation energy without anion corrections in eV/atom: -2.576
Magnetic moment in μB/f.u.: 2.00
Space-group type: Fm-3m

a = 6.041 Å, b = 6.041 Å, c = 6.042 Å
α = 60.00°, β = 60.00°, γ = 90.00°
Each line ends with the local moment (μB).
Element x y z (fractional)
Rh 0.000 0.000 0.000  1.76
Al 0.500 0.500 0.000  0.01
Rb 0.750 0.250 0.500  0.00
Rb 0.250 0.750 0.500  0.00
F 0.284 0.284 0.431  0.02
F 0.716 0.716 0.569  0.02
F 0.284 0.284 0.000  0.02
F 0.716 0.716 0.000  0.02
F 0.716 0.284 0.000  0.02
F 0.284 0.716 0.000  0.02